No. 1
Computed, not measured: crystalline SiAsW4 at its relaxed geometry at the PBE level of DFT.

```
6
Lattice="0.000 3.737 3.737 3.737 0.000 3.737 3.737 3.737 0.000" Properties=species:S:1:pos:R:3 pbc="T T T"
W 2.804 4.670 4.670
As 5.605 5.605 5.605
W 4.670 2.804 4.670
W 4.670 4.670 2.804
Si 0.000 0.000 0.000
W 2.804 2.804 2.804
```

## Properties
calculated volume: 104.37 Å³ per cell
theoretical density: 13.339 g/cm3
raw formation energy: 18.689 kcal/mol of atoms
SG: No. 216
electronic total energy: -9.504 eV/atom

---

No. 2
Computed, not measured: crystalline TcHg2Os at its relaxed geometry at the PBE level of DFT.

```
4
Lattice="-2.768 0.723 0.115 1.063 -1.799 1.958 2.244 7.661 5.820" Properties=species:S:1:pos:R:3 pbc="T T T"
Hg 1.122 3.830 2.910
Tc 0.831 5.208 5.402
Os -0.291 1.377 2.492
Hg 2.244 7.660 5.820
```

## Properties
calculated volume: 70.61 Å³ per cell
theoretical density: 16.214 g/cm3
SG: No. 65
electronic total energy: -4.642 eV/atom
ΔH_f (0 K): 908 meV per atom
relative energy among the computed polymorphs: 585 meV/atom

---

No. 3
Computed, not measured: crystalline Ca2LaSc at its relaxed geometry at the PBE level of DFT.

```
4
Lattice="-5.062 4.238 -2.118 -6.444 -1.369 2.160 6.506 1.560 1.817" Properties=species:S:1:pos:R:3 pbc="T T T"
La -5.491 1.369 0.020
Ca -0.195 0.049 0.001
Ca -2.215 3.632 -0.140
Sc -2.852 0.815 1.999
```

## Properties
calculated volume: 141.25 Å³ per cell
theoretical density: 3.104 g/cm3
SG: No. 44
electronic total energy: -3.642 eV/atom
ΔH_f (0 K): 173 meV per atom
relative energy among the computed polymorphs: 91 meV/atom

---

No. 4
Computed, not measured: crystalline Sm2Er2Tm7 at its relaxed geometry at the PBE level of DFT.

```
11
Lattice="5.693 1.035 1.494 0.561 7.840 1.246 0.561 -1.586 7.779" Properties=species:S:1:pos:R:3 pbc="T T T"
Tm 1.362 -0.253 4.934
Tm 4.167 5.388 7.776
Er 1.761 3.916 5.651
Tm 2.649 1.901 2.743
Tm 5.454 2.581 9.024
Tm 5.454 7.543 5.586
Er 5.055 3.373 4.868
Tm 1.362 4.708 1.495
Sm 3.408 0.933 7.139
Tm 0.000 0.000 0.000
Sm 3.408 6.357 3.380
```

## Properties
calculated volume: 346.77 Å³ per cell
theoretical density: 8.704 g/cm3
SG: No. 12
electronic total energy: -4.369 eV/atom
ΔH_f (0 K): 164 meV per atom
relative energy among the computed polymorphs: 5 meV/atom

---

No. 5
Computed, not measured: crystalline CaTb5Ag6 at its relaxed geometry at the PBE level of DFT.

```
12
Lattice="4.909 -0.029 1.632 0.039 7.289 0.013 -0.011 -0.015 8.196" Properties=species:S:1:pos:R:3 pbc="T T T"
Ag 0.855 5.430 5.697
Tb 1.637 -0.015 3.268
Tb 3.279 3.615 6.573
Ag 2.484 5.399 0.826
Ag 2.465 1.861 0.820
Ca 0.000 0.000 0.000
Ag 0.836 1.830 5.691
Ag 4.083 1.815 4.145
Ag 4.102 5.415 4.151
Tb 0.020 3.645 0.007
Tb 1.659 3.630 3.269
Tb 3.262 -0.029 6.560
```

## Properties
calculated volume: 293.43 Å³ per cell
theoretical density: 8.386 g/cm3
SG: No. 10
electronic total energy: -3.838 eV/atom
ΔH_f (0 K): -316 meV per atom

---

No. 6
Computed, not measured: crystalline Pt2Rh at its relaxed geometry at the PBE level of DFT.

```
3
Lattice="-2.060 -2.426 -3.484 2.070 -3.910 -1.643 -1.187 1.868 4.168" Properties=species:S:1:pos:R:3 pbc="T T T"
Rh 0.000 0.000 0.000
Pt 0.003 -2.119 -1.715
Pt 0.007 -4.217 -3.413
```

## Properties
calculated volume: 46.15 Å³ per cell
theoretical density: 17.743 g/cm3
SG: No. 139
electronic total energy: -6.448 eV/atom
ΔH_f (0 K): 29 meV per atom

---

No. 7
Computed, not measured: crystalline Cs2PrBr5 at its relaxed geometry at the PBE level of DFT.

```
32
Lattice="-2.018 -0.497 8.958 -6.595 -6.783 -1.862 10.155 -10.342 1.713" Properties=species:S:1:pos:R:3 pbc="T T T"
Br 0.791 -12.559 5.505
Pr 3.275 -15.837 8.649
Cs -2.678 -5.373 4.522
Cs 1.692 -10.719 8.522
Br 6.280 -10.124 2.156
Br 1.431 -9.673 2.967
Br -4.738 -7.499 6.652
Cs 4.220 -12.250 4.286
Br 3.360 -7.070 1.374
Br 0.752 -5.064 3.304
Br 3.838 -15.582 5.729
Cs 4.876 -7.444 9.421
Br 4.837 -13.208 8.258
Br -2.295 -2.041 3.080
Cs -3.333 -10.179 -0.612
Br -3.295 -4.415 0.551
Br -1.817 -10.553 7.435
Cs -0.149 -6.904 0.287
Pr 2.614 -7.138 4.263
Br -6.001 -7.199 -0.213
Cs 0.507 -2.098 5.421
Cs 1.036 -15.525 3.387
Br 4.034 -9.009 6.049
Pr -1.732 -1.786 0.160
Br -2.492 -8.614 2.760
Pr -1.071 -10.485 4.546
Br 3.201 -13.634 0.884
Br 0.111 -7.950 5.842
Br 7.544 -10.424 9.022
Br 2.817 -5.167 6.606
Br -1.275 -12.456 2.203
Br -1.658 -3.989 7.924
```

## Properties
calculated volume: 1294.06 Å³ per cell
theoretical density: 4.138 g/cm3
raw formation energy: -43.582 kcal/mol of atoms
SG: No. 62
electronic total energy: -3.746 eV/atom

---

No. 8
Computed, not measured: crystalline KTaTl2Te4 at its relaxed geometry at the PBE level of DFT.

```
8
Lattice="7.613 0.528 0.809 -2.766 7.112 -0.809 -2.766 -3.602 6.185" Properties=species:S:1:pos:R:3 pbc="T T T"
Te 2.228 2.239 3.286
K 1.040 -0.660 4.841
Te -2.181 3.089 4.876
Tl 0.000 0.000 0.000
Te 5.804 -0.161 3.622
Tl 1.040 4.697 1.344
Ta -2.766 1.755 2.688
Te -1.690 2.909 0.587
```

## Properties
calculated volume: 346.92 Å³ per cell
theoretical density: 5.453 g/cm3
raw formation energy: -9.345 kcal/mol of atoms
SG: No. 82
electronic total energy: -4.186 eV/atom

---

No. 9
Computed, not measured: crystalline Fe2Ag2Cl7 at its relaxed geometry at the PBE level of DFT.

```
22
Lattice="-4.087 4.949 -1.134 -1.010 -4.157 -6.505 -9.467 -6.526 5.640" Properties=species:S:1:pos:R:3 pbc="T T T"
Cl -8.590 -8.100 -0.968
Ag -8.571 -5.471 -0.770
Cl -10.039 -5.791 -3.232
Cl -4.733 -3.263 2.820
Fe -5.216 -5.219 -3.333
Cl -8.065 -1.399 -0.249
Cl -7.426 -5.567 1.892
Cl -13.064 -6.576 -0.825
Cl -0.505 -2.078 -3.253
Cl -10.505 -4.381 0.599
Cl -4.525 0.057 1.232
Ag -9.279 -4.229 3.205
Cl -4.059 -1.352 -2.599
Fe -1.983 -1.259 -1.706
Cl -6.499 -4.334 -1.751
Cl -7.139 -0.166 -3.892
Fe -9.348 -0.514 1.334
Fe -12.582 -4.474 -0.293
Ag -5.993 -0.262 -1.229
Ag -5.285 -1.504 -5.205
Cl -5.974 2.367 -1.032
Cl -1.500 0.842 -1.175
```

## Properties
calculated volume: 639.49 Å³ per cell
theoretical density: 2.989 g/cm3
raw formation energy: -14.693 kcal/mol of atoms
SG: No. 14
electronic total energy: -3.869 eV/atom
relative energy among the computed polymorphs: 0 meV/atom

---

No. 10
Computed, not measured: crystalline KCu4Br12 at its relaxed geometry at the PBE level of DFT.

```
17
Lattice="-3.270 3.262 7.047 -5.777 0.195 -6.129 2.328 -7.973 1.413" Properties=species:S:1:pos:R:3 pbc="T T T"
Br -4.667 -3.778 -0.390
Br -3.392 -0.483 -0.647
Br 0.285 -5.414 2.611
Br -4.291 -1.896 -3.768
Cu 1.164 -3.987 0.706
Br -1.220 -3.257 0.238
Cu -1.635 1.631 3.523
Br -7.005 0.897 -0.281
K 0.000 0.000 0.000
Br -2.053 -0.739 2.720
Br -3.328 -4.033 2.977
Br -5.499 -1.259 2.092
Br -4.122 1.847 3.975
Br -2.429 -2.620 6.098
Cu -2.889 0.098 -3.065
Br -2.598 -6.364 -1.645
Cu -3.360 -2.258 1.165
```

## Properties
calculated volume: 460.38 Å³ per cell
theoretical density: 4.516 g/cm3
raw formation energy: -6.298 kcal/mol of atoms
SG: No. 204
electronic total energy: -2.482 eV/atom

---

No. 11
Computed, not measured: crystalline Eu2LuAl at its relaxed geometry at the PBE level of DFT.

```
4
Lattice="3.521 0.000 0.000 1.760 3.049 0.000 1.760 1.016 12.364" Properties=species:S:1:pos:R:3 pbc="T T T"
Lu 3.521 2.033 6.182
Al 0.000 0.000 0.000
Eu 1.760 1.016 9.179
Eu 5.281 3.049 3.185
```

## Properties
calculated volume: 132.72 Å³ per cell
theoretical density: 6.329 g/cm3
SG: No. 166
electronic total energy: -6.853 eV/atom
ΔH_f (0 K): 350 meV per atom
relative energy among the computed polymorphs: 396 meV/atom

---

No. 12
Computed, not measured: crystalline PaGaAu4 at its relaxed geometry at the PBE level of DFT.

```
6
Lattice="-0.965 2.080 -3.824 -2.656 -3.386 -1.171 -5.389 3.156 3.071" Properties=species:S:1:pos:R:3 pbc="T T T"
Pa -7.184 2.509 0.566
Au -4.633 -1.453 -2.230
Au -7.001 -0.070 -0.881
Ga -5.335 -1.802 0.357
Au -2.824 -0.802 0.269
Au -5.189 0.585 1.615
```

## Properties
calculated volume: 138.39 Å³ per cell
theoretical density: 13.063 g/cm3
SG: No. 12
electronic total energy: -4.385 eV/atom
ΔH_f (0 K): -113 meV per atom